Entry 1:
Here is a relaxed structure of Pm4Nd3Tm from Alexandria via LeMat-Bulk. Energies are from PBE.

uncorrected energy = -4.720 eV/atom
space-group type = Pmn2_1, No. 31
relative energy among the computed polymorphs = 0.00 eV per formula unit
magnetic moment = 0.00 μB per cell
energy of formation from the pure elements = 0.002 eV per atom
D(E_F) = 1.28 states/eV/atom

abc: 7.3127 6.3289 11.7858
angles: 90.00 90.00 90.00
Closest atoms and distances in Å follow each position.
Fractional positions:
Tm 0.4398 0.6663 0.5000  6 Pm 3.61-3.66, 6 Nd 3.62-3.66
Nd 0.1898 0.5002 0.7502  7 Pm 3.62-3.66, 2 Tm 3.62-3.63, 3 Nd 3.63-3.66
Tm 0.9398 0.3337 0.0000  6 Pm 3.61-3.66, 6 Nd 3.62-3.66
Pm 0.9392 0.0013 0.7515  1 Tm 3.61, 5 Pm 3.61-3.66, 6 Nd 3.61-3.66
Nd 0.1898 0.5002 0.2498  7 Pm 3.62-3.66, 2 Tm 3.62-3.63, 3 Nd 3.63-3.66
Pm 0.6882 0.1670 0.5000  6 Pm 3.61-3.66, 4 Nd 3.62-3.67, 2 Tm 3.65
Pm 0.9393 0.6673 0.5000  6 Nd 3.62-3.66, 4 Pm 3.64-3.66, 2 Tm 3.65-3.66
Pm 0.1882 0.8330 0.0000  6 Pm 3.61-3.66, 4 Nd 3.62-3.67, 2 Tm 3.65
Nd 0.6900 0.8330 0.0000  8 Pm 3.61-3.67, 2 Nd 3.63, 2 Tm 3.65-3.66
Nd 0.6898 0.4998 0.7498  7 Pm 3.62-3.66, 2 Tm 3.62-3.63, 3 Nd 3.63-3.66
Nd 0.6898 0.4998 0.2502  7 Pm 3.62-3.66, 2 Tm 3.62-3.63, 3 Nd 3.63-3.66
Nd 0.1900 0.1670 0.5000  8 Pm 3.61-3.67, 2 Nd 3.63, 2 Tm 3.65-3.66
Pm 0.4392 0.9987 0.2515  1 Tm 3.61, 5 Pm 3.61-3.66, 6 Nd 3.61-3.66
Pm 0.9392 0.0013 0.2485  1 Tm 3.61, 5 Pm 3.61-3.66, 6 Nd 3.61-3.66
Pm 0.4392 0.9987 0.7485  1 Tm 3.61, 5 Pm 3.61-3.66, 6 Nd 3.61-3.66
Pm 0.4393 0.3327 0.0000  6 Nd 3.62-3.66, 4 Pm 3.64-3.66, 2 Tm 3.65-3.66

***

Entry 2:
Here is a relaxed structure of PmNd4Tm2 from Alexandria via LeMat-Bulk. Energies are from PBE.

uncorrected energy = -4.422 eV/atom
space-group type = Imma, No. 74
relative energy among the computed polymorphs = 1.38 eV per formula unit
magnetic moment = 0.00 μB per cell
energy of formation from the pure elements = 0.259 eV per atom
D(E_F) = 1.61 states/eV/atom

abc: 6.8890 9.0394 9.0394
angles: 78.94 67.60 67.60
Closest atoms and distances in Å follow each position.
Fractional positions:
Pm 0.5000 0.5000 0.0000  2 Nd 3.16, 2 Pm 3.44
Nd 0.1493 0.3519 0.3494  1 Tm 3.30, 2 Pm 3.55, 3 Nd 3.63-3.68
Nd 0.7688 0.7597 0.2597  1 Nd 3.05, 1 Pm 3.16, 1 Tm 3.18
Tm 0.5000 0.0000 0.0000  4 Nd 3.46
Nd 0.8507 0.1506 0.1481  1 Tm 3.30, 2 Pm 3.55, 3 Nd 3.63-3.68
Tm 0.5000 0.5000 0.5000  4 Nd 3.46
Nd 0.1493 0.8494 0.8519  1 Tm 3.30, 2 Pm 3.55, 3 Nd 3.63-3.68
Nd 0.2118 0.7597 0.2597  1 Nd 3.05, 1 Pm 3.16, 1 Tm 3.18
Nd 0.8507 0.6481 0.6506  1 Tm 3.30, 2 Pm 3.55, 3 Nd 3.63-3.68
Tm 0.2810 0.9690 0.4690  4 Nd 3.18-3.30, 2 Tm 3.53
Nd 0.7882 0.2403 0.7403  1 Nd 3.05, 1 Pm 3.16, 1 Tm 3.18
Tm 0.7190 0.0310 0.5310  4 Nd 3.18-3.30, 2 Tm 3.53
Nd 0.2312 0.2403 0.7403  1 Nd 3.05, 1 Pm 3.16, 1 Tm 3.18
Pm 0.0000 0.5000 0.0000  2 Nd 3.16, 2 Pm 3.44

***

Entry 3:
Here is a relaxed structure of Pm3NdTm2 from Alexandria via LeMat-Bulk. Energies are from PBE.

uncorrected energy = -4.556 eV/atom
space-group type = C2/m, No. 12
relative energy among the computed polymorphs = 0.51 eV per formula unit
magnetic moment = 0.00 μB per cell
energy of formation from the pure elements = 0.105 eV per atom
D(E_F) = 1.60 states/eV/atom

abc: 3.5435 6.8455 17.6071
angles: 79.67 84.22 75.00
Closest atoms and distances in Å follow each position.
Fractional positions:
Pm 0.9329 0.9714 0.1628  3 Tm 3.52-3.56, 8 Pm 3.54-3.78, 2 Nd 3.82
Pm 0.2735 0.1180 0.3349  4 Tm 3.37-3.51, 3 Nd 3.52-3.58, 4 Pm 3.54-3.75
Tm 0.3639 0.7682 0.5040  3 Pm 3.45-3.51, 5 Tm 3.52-3.57, 2 Nd 3.61-3.62
Pm 0.7265 0.8820 0.6651  4 Tm 3.37-3.51, 3 Nd 3.52-3.58, 4 Pm 3.54-3.75
Tm 0.1989 0.4378 0.1644  7 Pm 3.37-3.56, 2 Nd 3.52, 2 Tm 3.54
Pm 0.6278 0.7336 0.0107  3 Tm 3.44-3.54, 9 Pm 3.48-3.78
Nd 0.5438 0.5940 0.3184  4 Tm 3.52-3.62, 5 Pm 3.52-3.82, 2 Nd 3.54
Pm 0.0671 0.0286 0.8372  3 Tm 3.52-3.56, 8 Pm 3.54-3.78, 2 Nd 3.82
Tm 0.6361 0.2318 0.4960  3 Pm 3.45-3.51, 5 Tm 3.52-3.57, 2 Nd 3.61-3.62
Tm 0.8011 0.5622 0.8356  7 Pm 3.37-3.56, 2 Nd 3.52, 2 Tm 3.54
Nd 0.4562 0.4060 0.6816  4 Tm 3.52-3.62, 5 Pm 3.52-3.82, 2 Nd 3.54
Pm 0.3722 0.2664 0.9893  3 Tm 3.44-3.54, 9 Pm 3.48-3.78

***

Entry 4:
Here is a relaxed structure of Pm3NdTm2 from Alexandria via LeMat-Bulk. Energies are from PBE.

uncorrected energy = -4.641 eV/atom
space-group type = C2/c, No. 15
relative energy among the computed polymorphs = 0.00 eV per formula unit
magnetic moment = 0.00 μB per cell
energy of formation from the pure elements = 0.019 eV per atom
D(E_F) = 1.40 states/eV/atom

abc: 7.1935 6.2333 9.5340
angles: 89.84 112.16 90.00
Closest atoms and distances in Å follow each position.
Fractional positions:
Tm 0.2085 0.4179 0.6647  8 Pm 3.56-3.62, 3 Tm 3.57-3.59, 1 Nd 3.62
Nd 0.1264 0.2500 0.0000  8 Pm 3.58-3.63, 2 Nd 3.61, 2 Tm 3.62
Pm 0.9577 0.9161 0.6635  4 Pm 3.55-3.62, 6 Tm 3.56-3.61, 2 Nd 3.63
Pm 0.7058 0.4161 0.6635  4 Pm 3.55-3.62, 6 Tm 3.56-3.61, 2 Nd 3.63
Pm 0.2942 0.5839 0.3365  4 Pm 3.55-3.62, 6 Tm 3.56-3.61, 2 Nd 3.63
Pm 0.3764 0.7500 0.0000  4 Nd 3.58-3.62, 4 Pm 3.59-3.62, 4 Tm 3.61-3.62
Tm 0.4562 0.9179 0.6647  8 Pm 3.56-3.62, 3 Tm 3.57-3.59, 1 Nd 3.62
Pm 0.0423 0.0839 0.3365  4 Pm 3.55-3.62, 6 Tm 3.56-3.61, 2 Nd 3.63
Nd 0.8736 0.7500 0.0000  8 Pm 3.58-3.63, 2 Nd 3.61, 2 Tm 3.62
Tm 0.5438 0.0821 0.3353  8 Pm 3.56-3.62, 3 Tm 3.57-3.59, 1 Nd 3.62
Tm 0.7915 0.5821 0.3353  8 Pm 3.56-3.62, 3 Tm 3.57-3.59, 1 Nd 3.62
Pm 0.6236 0.2500 0.0000  4 Nd 3.58-3.62, 4 Pm 3.59-3.62, 4 Tm 3.61-3.62

***

Entry 5:
Here is a relaxed structure of PmNd3Tm from Alexandria via LeMat-Bulk. Energies are from PBE.

uncorrected energy = -4.574 eV/atom
space-group type = C2/m, No. 12
relative energy among the computed polymorphs = 0.00 eV per formula unit
magnetic moment = 0.00 μB per cell
energy of formation from the pure elements = 0.131 eV per atom
D(E_F) = 1.77 states/eV/atom

abc: 7.1059 9.4526 8.7605
angles: 135.75 90.00 112.08
Closest atoms and distances in Å follow each position.
Fractional positions:
Pm 0.4428 0.8856 0.1136  8 Nd 3.50-3.68, 2 Tm 3.55, 1 Pm 3.76
Tm 0.0567 0.1134 0.8856  8 Nd 3.49-3.68, 2 Pm 3.55, 1 Tm 3.76
Nd 0.0952 0.6913 0.3076  6 Nd 3.51-3.64, 3 Tm 3.66-3.68, 3 Pm 3.66-3.68
Nd 0.4039 0.3087 0.6924  6 Nd 3.51-3.64, 3 Tm 3.66-3.68, 3 Pm 3.66-3.68
Tm 0.9433 0.8866 0.1144  8 Nd 3.49-3.68, 2 Pm 3.55, 1 Tm 3.76
Nd 0.5961 0.6913 0.3076  6 Nd 3.51-3.64, 3 Tm 3.66-3.68, 3 Pm 3.66-3.68
Nd 0.7502 0.5005 0.5019  2 Tm 3.49-3.50, 2 Pm 3.50-3.51, 6 Nd 3.55-3.64
Nd 0.9048 0.3087 0.6924  6 Nd 3.51-3.64, 3 Tm 3.66-3.68, 3 Pm 3.66-3.68
Pm 0.5572 0.1144 0.8864  8 Nd 3.50-3.68, 2 Tm 3.55, 1 Pm 3.76
Nd 0.2498 0.4995 0.4981  2 Tm 3.49-3.50, 2 Pm 3.50-3.51, 6 Nd 3.55-3.64

***

Entry 6:
Here is a relaxed structure of Pm3NdTm8 from Alexandria via LeMat-Bulk. Energies are from PBE.

uncorrected energy = -4.270 eV/atom
space-group type = Immm, No. 71
magnetic moment = 0.00 μB per cell
energy of formation from the pure elements = 0.296 eV per atom
D(E_F) = 1.40 states/eV/atom

abc: 8.6148 8.6148 8.6148
angles: 97.51 136.59 98.21
Closest atoms and distances in Å follow each position.
Fractional positions:
Tm 0.9987 0.7491 0.2496  6 Tm 3.18-3.38, 1 Pm 3.23, 1 Nd 3.25
Tm 0.1715 0.4217 0.2501  6 Tm 3.37-3.64, 4 Pm 3.43-3.73, 1 Nd 3.44
Tm 0.0012 0.2509 0.7503  6 Tm 3.18-3.38, 1 Pm 3.23, 1 Nd 3.25
Pm 0.0000 0.5000 0.5000  8 Tm 3.23-3.43
Nd 0.0000 0.0000 0.0000  8 Tm 3.25-3.44
Tm 0.5005 0.2509 0.2496  6 Tm 3.18-3.38, 1 Pm 3.23, 1 Nd 3.25
Tm 0.8285 0.0786 0.2502  6 Tm 3.37-3.64, 4 Pm 3.43-3.73, 1 Nd 3.44
Tm 0.1716 0.9214 0.7499  6 Tm 3.37-3.64, 4 Pm 3.43-3.73, 1 Nd 3.44
Pm 0.5000 0.7490 0.2490  6 Tm 3.70-3.73
Tm 0.8284 0.5783 0.7498  6 Tm 3.37-3.64, 4 Pm 3.43-3.73, 1 Nd 3.44
Tm 0.4995 0.7491 0.7504  6 Tm 3.18-3.38, 1 Pm 3.23, 1 Nd 3.25
Pm 0.5000 0.2510 0.7510  6 Tm 3.70-3.73

***

Entry 7:
Here is a relaxed structure of Pm2Nd5Tm4 from Alexandria via LeMat-Bulk. Energies are from PBE.

uncorrected energy = -4.486 eV/atom
space-group type = Immm, No. 71
relative energy among the computed polymorphs = 0.32 eV per formula unit
magnetic moment = 0.00 μB per cell
energy of formation from the pure elements = 0.171 eV per atom
D(E_F) = 1.47 states/eV/atom

abc: 3.5365 9.1505 12.7527
angles: 111.02 97.97 90.00
Closest atoms and distances in Å follow each position.
Fractional positions:
Nd 0.8566 0.0563 0.7132  3 Tm 3.45-3.54, 1 Pm 3.46, 3 Nd 3.54-3.66
Tm 0.4039 0.4039 0.8079  1 Pm 3.19, 6 Tm 3.33-3.54, 4 Nd 3.45
Nd 0.5000 0.0000 0.0000  4 Tm 3.39, 2 Nd 3.54
Tm 0.0000 0.6833 0.0000  7 Tm 3.33-3.54, 4 Nd 3.39-3.54
Nd 0.1434 0.3431 0.2868  3 Tm 3.45-3.54, 1 Pm 3.46, 3 Nd 3.54-3.66
Pm 0.7316 0.7316 0.4632  1 Tm 3.19, 2 Nd 3.46, 2 Pm 3.54
Pm 0.2684 0.2684 0.5368  1 Tm 3.19, 2 Nd 3.46, 2 Pm 3.54
Tm 0.0000 0.3167 0.0000  7 Tm 3.33-3.54, 4 Nd 3.39-3.54
Nd 0.1434 0.9437 0.2868  3 Tm 3.45-3.54, 1 Pm 3.46, 3 Nd 3.54-3.66
Nd 0.8566 0.6569 0.7132  3 Tm 3.45-3.54, 1 Pm 3.46, 3 Nd 3.54-3.66
Tm 0.5961 0.5961 0.1921  1 Pm 3.19, 6 Tm 3.33-3.54, 4 Nd 3.45

***

Entry 8:
Here is a relaxed structure of Pm3Nd2Tm4 from Alexandria via LeMat-Bulk. Energies are from PBE.

uncorrected energy = -4.612 eV/atom
space-group type = P-1, No. 2
relative energy among the computed polymorphs = 0.00 eV per formula unit
magnetic moment = 0.00 μB per cell
energy of formation from the pure elements = 0.019 eV per atom
D(E_F) = 1.26 states/eV/atom

abc: 8.0011 6.2258 10.7244
angles: 72.97 132.04 130.41
Closest atoms and distances in Å follow each position.
Fractional positions:
Nd 0.3351 0.6675 0.2227  6 Tm 3.55-3.61, 5 Pm 3.57-3.61, 1 Nd 3.60
Tm 0.3356 0.6669 0.8905  5 Tm 3.55-3.59, 4 Pm 3.57-3.59, 3 Nd 3.57-3.59
Nd 0.6649 0.3325 0.7773  6 Tm 3.55-3.61, 5 Pm 3.57-3.61, 1 Nd 3.60
Tm 0.9946 0.9969 0.3306  3 Nd 3.55-3.61, 4 Tm 3.55-3.59, 5 Pm 3.56-3.60
Pm 0.6696 0.3353 0.4461  3 Pm 3.56-3.60, 6 Tm 3.56-3.60, 3 Nd 3.57-3.61
Pm 0.3304 0.6647 0.5539  3 Pm 3.56-3.60, 6 Tm 3.56-3.60, 3 Nd 3.57-3.61
Tm 0.6644 0.3331 0.1095  5 Tm 3.55-3.59, 4 Pm 3.57-3.59, 3 Nd 3.57-3.59
Tm 0.0054 0.0031 0.6694  3 Nd 3.55-3.61, 4 Tm 3.55-3.59, 5 Pm 3.56-3.60
Pm 0.0000 0.0000 0.0000  6 Tm 3.57, 4 Nd 3.59-3.60, 2 Pm 3.60

***

Entry 9:
Here is a relaxed structure of PmNd6Tm3 from Alexandria via LeMat-Bulk. Energies are from PBE.

uncorrected energy = -4.533 eV/atom
space-group type = Cmc2_1, No. 36
relative energy among the computed polymorphs = 0.00 eV per formula unit
magnetic moment = 0.00 μB per cell
energy of formation from the pure elements = 0.144 eV per atom
D(E_F) = 1.43 states/eV/atom

abc: 6.3572 11.1106 11.1106
angles: 120.68 90.00 90.00
Closest atoms and distances in Å follow each position.
Fractional positions:
Nd 0.5481 0.6284 0.7093  4 Tm 3.48-3.76, 5 Nd 3.53-3.80
Nd 0.5481 0.2907 0.3716  4 Tm 3.48-3.76, 5 Nd 3.53-3.80
Tm 0.9638 0.7129 0.9432  1 Pm 3.31, 6 Nd 3.31-3.58, 1 Tm 3.69
Nd 0.6503 0.2816 0.7184  2 Nd 3.14, 1 Pm 3.37, 1 Tm 3.42
Nd 0.3775 0.9640 0.0360  1 Pm 3.40, 4 Nd 3.47-3.80, 4 Tm 3.52-3.58
Nd 0.0481 0.3716 0.2907  4 Tm 3.48-3.76, 5 Nd 3.53-3.80
Nd 0.3674 0.0578 0.4762  1 Nd 3.14, 1 Tm 3.31, 1 Pm 3.33
Nd 0.8674 0.9422 0.5238  1 Nd 3.14, 1 Tm 3.31, 1 Pm 3.33
Tm 0.5880 0.6155 0.3845  7 Nd 3.42-3.76, 1 Pm 3.67, 2 Tm 3.69
Nd 0.8674 0.4762 0.0578  1 Nd 3.14, 1 Tm 3.31, 1 Pm 3.33
Nd 0.1503 0.7184 0.2816  2 Nd 3.14, 1 Pm 3.37, 1 Tm 3.42
Tm 0.9638 0.0568 0.2871  1 Pm 3.31, 6 Nd 3.31-3.58, 1 Tm 3.69
Nd 0.3674 0.5238 0.9422  1 Nd 3.14, 1 Tm 3.31, 1 Pm 3.33
Tm 0.0880 0.3845 0.6155  7 Nd 3.42-3.76, 1 Pm 3.67, 2 Tm 3.69
Tm 0.4638 0.9432 0.7129  1 Pm 3.31, 6 Nd 3.31-3.58, 1 Tm 3.69
Tm 0.4638 0.2871 0.0568  1 Pm 3.31, 6 Nd 3.31-3.58, 1 Tm 3.69
Pm 0.6108 0.8053 0.1947  3 Tm 3.31-3.67, 6 Nd 3.33-3.56
Nd 0.0481 0.7093 0.6284  4 Tm 3.48-3.76, 5 Nd 3.53-3.80
Nd 0.8775 0.0360 0.9640  1 Pm 3.40, 4 Nd 3.47-3.80, 4 Tm 3.52-3.58
Pm 0.1108 0.1947 0.8053  3 Tm 3.31-3.67, 6 Nd 3.33-3.56

***

Question: Which formula does entry 7 have?
Answer: Pm2Nd5Tm4

***

What did the fourth record say?
Here is a relaxed structure of Pm3NdTm2 from Alexandria via LeMat-Bulk. Energies are from PBE.

uncorrected energy = -4.641 eV/atom
space-group type = C2/c, No. 15
relative energy among the computed polymorphs = 0.00 eV per formula unit
magnetic moment = 0.00 μB per cell
energy of formation from the pure elements = 0.019 eV per atom
D(E_F) = 1.40 states/eV/atom

abc: 7.1935 6.2333 9.5340
angles: 89.84 112.16 90.00
Closest atoms and distances in Å follow each position.
Fractional positions:
Tm 0.2085 0.4179 0.6647  8 Pm 3.56-3.62, 3 Tm 3.57-3.59, 1 Nd 3.62
Nd 0.1264 0.2500 0.0000  8 Pm 3.58-3.63, 2 Nd 3.61, 2 Tm 3.62
Pm 0.9577 0.9161 0.6635  4 Pm 3.55-3.62, 6 Tm 3.56-3.61, 2 Nd 3.63
Pm 0.7058 0.4161 0.6635  4 Pm 3.55-3.62, 6 Tm 3.56-3.61, 2 Nd 3.63
Pm 0.2942 0.5839 0.3365  4 Pm 3.55-3.62, 6 Tm 3.56-3.61, 2 Nd 3.63
Pm 0.3764 0.7500 0.0000  4 Nd 3.58-3.62, 4 Pm 3.59-3.62, 4 Tm 3.61-3.62
Tm 0.4562 0.9179 0.6647  8 Pm 3.56-3.62, 3 Tm 3.57-3.59, 1 Nd 3.62
Pm 0.0423 0.0839 0.3365  4 Pm 3.55-3.62, 6 Tm 3.56-3.61, 2 Nd 3.63
Nd 0.8736 0.7500 0.0000  8 Pm 3.58-3.63, 2 Nd 3.61, 2 Tm 3.62
Tm 0.5438 0.0821 0.3353  8 Pm 3.56-3.62, 3 Tm 3.57-3.59, 1 Nd 3.62
Tm 0.7915 0.5821 0.3353  8 Pm 3.56-3.62, 3 Tm 3.57-3.59, 1 Nd 3.62
Pm 0.6236 0.2500 0.0000  4 Nd 3.58-3.62, 4 Pm 3.59-3.62, 4 Tm 3.61-3.62

***

Question: Among the records above, which one has the highest energy of formation from the pure elements?
Answer: Pm3NdTm8

***

Question: Which value of uncorrected energy does entry 2 give?
Answer: -4.422 eV/atom